Compound: Ba3YMn2O6
Source: Alexandria via LeMat-Bulk
Functional: GGA+U
Structure: optimized geometry

a b c (Å): 6.2015 6.2015 7.0814
angles (deg): 90.00 90.00 120.00
Sites, in units of the cell vectors:
O 0.3358 0.1679 0.6927
Ba 0.6667 0.3333 0.3692
Y 0.0000 0.0000 0.5000
O 0.1679 0.8321 0.3073
O 0.8321 0.6642 0.6927
Mn 0.6667 0.3333 0.8218
Mn 0.3333 0.6667 0.1782
Ba 0.0000 0.0000 0.0000
O 0.8321 0.1679 0.6927
O 0.1679 0.3358 0.3073
O 0.6642 0.8321 0.3073
Ba 0.3333 0.6667 0.6308

Calculated values
The raw total energy is -6.986 eV per atom.